1) VASP calculation (PBE) on an optimized crystal structure of CsTlPt.

a = 12.9410 Å, b = 4.6025 Å, c = 8.7306 Å
α = 90.00°, β = 128.19°, γ = 90.00°
Element x y z (fractional)
Cs (0.0775, 0.0000, 0.3426)
Cs (0.4225, 0.5000, 0.6574)
Cs (0.5775, 0.5000, 0.3426)
Cs (0.9225, 0.0000, 0.6574)
Tl (0.2170, 0.5000, 0.8276)
Tl (0.2830, 0.0000, 0.1724)
Tl (0.7170, 0.0000, 0.8276)
Tl (0.7830, 0.5000, 0.1724)
Pt (0.1189, 0.5000, 0.0490)
Pt (0.3811, 0.0000, 0.9510)
Pt (0.6189, 0.0000, 0.0490)
Pt (0.8811, 0.5000, 0.9510)

## Properties
Its space-group type is C2/m, No. 12. As for the crystal system: monoclinic. Its density of states at the Fermi level is 6.72 states/eV/cell.

***

2) VASP calculation (PBE) on an optimized crystal structure of CsTlPt.

a = 13.8106 Å, b = 4.5307 Å, c = 9.6940 Å
α = 90.00°, β = 130.54°, γ = 90.00°
Element x y z (fractional)
Cs (0.0431, 0.0000, 0.3281)
Cs (0.4569, 0.5000, 0.6719)
Cs (0.5431, 0.5000, 0.3281)
Cs (0.9569, 0.0000, 0.6719)
Tl (0.1691, 0.5000, 0.1371)
Tl (0.3309, 0.0000, 0.8629)
Tl (0.6691, 0.0000, 0.1371)
Tl (0.8309, 0.5000, 0.8629)
Pt (0.2415, 0.5000, 0.9157)
Pt (0.2585, 0.0000, 0.0843)
Pt (0.7415, 0.0000, 0.9157)
Pt (0.7585, 0.5000, 0.0843)

## Properties
Its space-group type is C2/m, No. 12. As for the crystal system: monoclinic. Its density of states at the Fermi level is 3.76 states/eV/cell.

***

Ranking the structures above from most stable to least stable yields 1), 2).